Record 1
{"formula": "Li2YAsS4", "functional": "PBE", "state": "relaxed", "lattice": [[6.524, 0.000, 0.000], [0.000, 3.810, 0.000], [-2.224, 0.000, 6.228]], "species": ["Li", "Li", "Y", "As", "S", "S", "S", "S"], "fractional_positions": [[0.000, 0.000, 0.000], [0.000, 0.500, 0.500], [0.500, 0.000, 0.500], [0.500, 0.500, 0.000], [0.251, 0.500, 0.238], [0.257, 0.000, 0.765], [0.743, 0.000, 0.235], [0.749, 0.500, 0.762]], "e_form_raw_mev_per_atom": -1185}

---

Record 2
{"formula": "PrHo7Hg2", "functional": "PBE", "state": "relaxed", "lattice": [[4.547, -7.465, 0.000], [4.547, 7.465, 0.000], [0.000, 0.000, 5.417]], "species": ["Pr", "Ho", "Ho", "Ho", "Ho", "Ho", "Ho", "Ho", "Hg", "Hg"], "fractional_positions": [[0.000, 0.000, 0.000], [0.060, 0.306, 0.500], [0.244, 0.756, 0.000], [0.306, 0.060, 0.500], [0.500, 0.500, 0.500], [0.694, 0.940, 0.500], [0.756, 0.244, 0.000], [0.940, 0.694, 0.500], [0.304, 0.696, 0.500], [0.696, 0.304, 0.500]], "n_ef_per_ev_cell": 20.468, "ef_ev_per_atom": 0.28}